1.
A geometry-optimized MgSbOF2 structure. Source: the Alexandria database, functional PBE.

Cell lengths 3.8583, 3.8583, 4.3446 Å; angles 90.00, 90.00, 90.00 degrees
Closest atoms and distances in Å follow each position.
Atoms (fractional coordinates):
Mg: 0.0000 0.0000 0.0000  4 F 1.93
Sb: 0.5000 0.5000 0.5000  4 O 2.73, 8 F 2.91
O: 0.0000 0.0000 0.5000  2 Mg 2.17
F: 0.0000 0.5000 0.0000  2 Mg 1.93
F: 0.5000 0.0000 0.0000  2 Mg 1.93

Values from the calculation:
E: -4.850 eV/atom
formation energy (no corrections): -9.830 eV per formula unit
total magnetic moment: 0.00 μB per cell
SG: P4/mmm (123)


2.
A geometry-optimized MgScOF2 structure. Source: the Alexandria database, functional PBE.

Cell lengths 3.7729, 3.7729, 4.1212 Å; angles 90.00, 90.00, 90.00 degrees
Closest atoms and distances in Å follow each position.
Atoms (fractional coordinates):
Mg: 0.0000 0.0000 0.0000  4 F 1.89, 2 O 2.06
Sc: 0.5000 0.5000 0.5000  4 O 2.67, 8 F 2.79
O: 0.0000 0.0000 0.5000  2 Mg 2.06
F: 0.0000 0.5000 0.0000  2 Mg 1.89
F: 0.5000 0.0000 0.0000  2 Mg 1.89

Values from the calculation:
E: -5.973 eV/atom
formation energy (no corrections): -13.239 eV per formula unit
total magnetic moment: 0.99 μB per cell
SG: P4/mmm (123)


Repeat the second record exactly.
A geometry-optimized MgScOF2 structure. Source: the Alexandria database, functional PBE.

Cell lengths 3.7729, 3.7729, 4.1212 Å; angles 90.00, 90.00, 90.00 degrees
Closest atoms and distances in Å follow each position.
Atoms (fractional coordinates):
Mg: 0.0000 0.0000 0.0000  4 F 1.89, 2 O 2.06
Sc: 0.5000 0.5000 0.5000  4 O 2.67, 8 F 2.79
O: 0.0000 0.0000 0.5000  2 Mg 2.06
F: 0.0000 0.5000 0.0000  2 Mg 1.89
F: 0.5000 0.0000 0.0000  2 Mg 1.89

Values from the calculation:
E: -5.973 eV/atom
formation energy (no corrections): -13.239 eV per formula unit
total magnetic moment: 0.99 μB per cell
SG: P4/mmm (123)


Question: Number 1 is which compound?
Answer: MgSbOF2


Please write out number 1 again, unchanged.
A geometry-optimized MgSbOF2 structure. Source: the Alexandria database, functional PBE.

Cell lengths 3.8583, 3.8583, 4.3446 Å; angles 90.00, 90.00, 90.00 degrees
Closest atoms and distances in Å follow each position.
Atoms (fractional coordinates):
Mg: 0.0000 0.0000 0.0000  4 F 1.93
Sb: 0.5000 0.5000 0.5000  4 O 2.73, 8 F 2.91
O: 0.0000 0.0000 0.5000  2 Mg 2.17
F: 0.0000 0.5000 0.0000  2 Mg 1.93
F: 0.5000 0.0000 0.0000  2 Mg 1.93

Values from the calculation:
E: -4.850 eV/atom
formation energy (no corrections): -9.830 eV per formula unit
total magnetic moment: 0.00 μB per cell
SG: P4/mmm (123)